A relaxed LaMo3 crystal. Source: Alexandria, functional GGA-PBE.

abc: 9.844 3.259 5.589
angles: 90.00 108.15 90.00
Space group C2/m (No. 12)
One atom of each set of equivalent atoms:
La: 0.000 0.000 0.000 x2
Mo: 0.000 0.500 0.500 x2
Mo: 0.218 0.000 0.651 x4

Properties
Formation energy from the elements: 0.54 eV per atom
Energy above the most stable polymorph in this dataset: 0.151 eV/atom
DOS at the Fermi energy: 1.213 states/eV/atom